Here is a geometry-optimized InFe2F8 structure from the Alexandria database. Energies are from PBE with a Hubbard U.

Computed properties:
polymorph energy (0 for the lowest one): 0.0000 eV per atom

a = 9.7450 Å, b = 7.0007 Å, c = 4.2962 Å
α = 90.00°, β = 90.32°, γ = 90.00°
With the nearest neighbours (Å) after each atom.
Space group C2/m (No. 12)
Inequivalent atoms, fractional coordinates:
In 0.0000 0.0000 0.0000 [2 per cell]  6 F 2.09-2.12
Fe 0.1180 0.5000 0.2729 [4 per cell]  5 F 1.95-2.09
F 0.0964 0.5000 0.7575 [4 per cell]  3 Fe 2.09-2.22
F 0.1003 0.2216 0.2483 [8 per cell]  1 Fe 1.96, 1 In 2.12
F 0.1817 0.0000 0.7420 [4 per cell]  1 Fe 1.95, 1 In 2.09



Here is a geometry-optimized In2FeF structure from the Alexandria database. Energies are from PBE with a Hubbard U.

Computed properties:
polymorph energy (0 for the lowest one): 0.0000 eV per atom

a = 4.4665 Å, b = 4.4665 Å, c = 17.6314 Å
α = 90.00°, β = 90.00°, γ = 90.00°
With the nearest neighbours (Å) after each atom.
Space group I-42d (No. 122)
Inequivalent atoms, fractional coordinates:
In 0.2247 0.2500 0.1250 [8 per cell]  2 F 2.67, 2 Fe 2.76
Fe 0.0000 0.0000 0.5000 [4 per cell]  4 In 2.76
F 0.0000 0.0000 0.0000 [4 per cell]  4 In 2.67